No. 1
## NbGaCo (GGA-PBE)

Data for crystalline NbGaCo at its relaxed geometry.

The final energy comes out at -0.2312 Ha/atom.

a b c (Å): 5.9361 5.9361 5.9361
angles (deg): 90.00 90.00 90.00
Last column: nearest neighbours and their distance in Å.
Space group F-43m (No. 216)
One atom of each set of equivalent atoms:
Nb1 0.0000 0.0000 0.0000 (multiplicity 4)  4 Co 2.57, 4 Ga 2.57
Ga1 0.2500 0.2500 0.2500 (multiplicity 4)  4 Nb 2.57
Co1 0.2500 0.2500 0.7500 (multiplicity 4)  4 Nb 2.57

No. 2
## NbGaCo2 (GGA-PBE)

Data for crystalline NbGaCo2 at its relaxed geometry.

The final energy comes out at -0.2500 Ha/atom.

a b c (Å): 5.9431 5.9431 5.9431
angles (deg): 90.00 90.00 90.00
Last column: nearest neighbours and their distance in Å.
Space group F-43m (No. 216)
One atom of each set of equivalent atoms:
Nb1 0.0000 0.0000 0.0000 (multiplicity 4)  4 Co 2.57, 4 Ga 2.57
Ga1 0.2500 0.2500 0.7500 (multiplicity 4)  4 Nb 2.57, 4 Co 2.57
Co1 0.0000 0.0000 0.5000 (multiplicity 4)  4 Ga 2.57, 4 Co 2.57
Co2 0.2500 0.2500 0.2500 (multiplicity 4)  4 Nb 2.57, 4 Co 2.57

No. 3
## NbGaCo2 (GGA-PBE)

Data for crystalline NbGaCo2 at its relaxed geometry.

The final energy comes out at -0.2590 Ha/atom.

a b c (Å): 2.8077 2.8077 6.6158
angles (deg): 90.00 90.00 90.00
Last column: nearest neighbours and their distance in Å.
Space group P4/mmm (No. 123)
One atom of each set of equivalent atoms:
Nb1 0.0000 0.0000 0.0000 (multiplicity 1)  8 Co 2.69, 4 Nb 2.81
Ga1 0.0000 0.0000 0.5000 (multiplicity 1)  8 Co 2.49
Co1 0.5000 0.5000 0.2740 (multiplicity 2)  4 Ga 2.49, 4 Nb 2.69

No. 4
## Nb2GaCo (GGA-PBE)

Data for crystalline Nb2GaCo at its relaxed geometry.

The final energy comes out at -0.2749 Ha/atom.

a b c (Å): 6.2829 6.2829 6.2829
angles (deg): 90.00 90.00 90.00
Last column: nearest neighbours and their distance in Å.
Space group F-43m (No. 216)
One atom of each set of equivalent atoms:
Nb1 0.0000 0.0000 0.0000 (multiplicity 4)  4 Nb 2.72, 4 Co 2.72
Nb2 0.2500 0.2500 0.2500 (multiplicity 4)  4 Ga 2.72, 4 Nb 2.72
Ga1 0.0000 0.0000 0.5000 (multiplicity 4)  4 Co 2.72, 4 Nb 2.72
Co1 0.2500 0.2500 0.7500 (multiplicity 4)  4 Nb 2.72, 4 Ga 2.72

No. 5
## NbGaCoOs (GGA-PBE)

Data for crystalline NbGaCoOs at its relaxed geometry.

The calculation puts the energy above the most stable polymorph in this dataset at 0.000 eV/atom.

a b c (Å): 6.1384 6.1384 6.1384
angles (deg): 90.00 90.00 90.00
Last column: nearest neighbours and their distance in Å.
Space group F-43m (No. 216)
One atom of each set of equivalent atoms:
Nb1 0.0000 0.0000 0.0000 (multiplicity 4)  4 Co 2.66, 4 Os 2.66
Ga1 0.0000 0.0000 0.5000 (multiplicity 4)  4 Co 2.66, 4 Os 2.66
Co1 0.2500 0.2500 0.7500 (multiplicity 4)  4 Nb 2.66, 4 Ga 2.66
Os1 0.2500 0.2500 0.2500 (multiplicity 4)  4 Nb 2.66, 4 Ga 2.66

No. 6
## NbGaCoPd (GGA-PBE)

Data for crystalline NbGaCoPd at its relaxed geometry.

The calculation puts the energy above the most stable polymorph in this dataset at 0.000 eV/atom.

a b c (Å): 6.1824 6.1824 6.1824
angles (deg): 90.00 90.00 90.00
Last column: nearest neighbours and their distance in Å.
Space group F-43m (No. 216)
One atom of each set of equivalent atoms:
Nb1 0.0000 0.0000 0.0000 (multiplicity 4)  4 Co 2.68, 4 Pd 2.68
Ga1 0.0000 0.0000 0.5000 (multiplicity 4)  4 Pd 2.68, 4 Co 2.68
Co1 0.2500 0.2500 0.7500 (multiplicity 4)  4 Nb 2.68, 4 Ga 2.68
Pd1 0.2500 0.2500 0.2500 (multiplicity 4)  4 Nb 2.68, 4 Ga 2.68

No. 7
## NbGaCoPd (GGA-PBE)

Data for crystalline NbGaCoPd at its relaxed geometry.

The calculation puts the energy above the most stable polymorph in this dataset at 0.150 eV/atom.

a b c (Å): 6.1851 6.1851 6.1851
angles (deg): 90.00 90.00 90.00
Last column: nearest neighbours and their distance in Å.
Space group F-43m (No. 216)
One atom of each set of equivalent atoms:
Nb1 0.0000 0.0000 0.0000 (multiplicity 4)  4 Pd 2.68, 4 Ga 2.68
Ga1 0.2500 0.2500 0.2500 (multiplicity 4)  4 Nb 2.68, 4 Co 2.68
Co1 0.0000 0.0000 0.5000 (multiplicity 4)  4 Ga 2.68, 4 Pd 2.68
Pd1 0.2500 0.2500 0.7500 (multiplicity 4)  4 Nb 2.68, 4 Co 2.68

No. 8
## NbGaCoTc (GGA-PBE)

Data for crystalline NbGaCoTc at its relaxed geometry.

The calculation puts the energy above the most stable polymorph in this dataset at 0.000 eV/atom.

a b c (Å): 6.1160 6.1160 6.1160
angles (deg): 90.00 90.00 90.00
Last column: nearest neighbours and their distance in Å.
Space group F-43m (No. 216)
One atom of each set of equivalent atoms:
Nb1 0.0000 0.0000 0.0000 (multiplicity 4)  4 Tc 2.65, 4 Co 2.65
Ga1 0.0000 0.0000 0.5000 (multiplicity 4)  4 Co 2.65, 4 Tc 2.65
Co1 0.2500 0.2500 0.7500 (multiplicity 4)  4 Nb 2.65, 4 Ga 2.65
Tc1 0.2500 0.2500 0.2500 (multiplicity 4)  4 Nb 2.65, 4 Ga 2.65

No. 9
## NbGaCoW (GGA-PBE)

Data for crystalline NbGaCoW at its relaxed geometry.

The calculation puts the energy above the most stable polymorph in this dataset at 0.000 eV/atom.

a b c (Å): 6.2144 6.2144 6.2144
angles (deg): 90.00 90.00 90.00
Last column: nearest neighbours and their distance in Å.
Space group F-43m (No. 216)
One atom of each set of equivalent atoms:
Nb1 0.0000 0.0000 0.0000 (multiplicity 4)  4 Co 2.69, 4 W 2.69
Ga1 0.0000 0.0000 0.5000 (multiplicity 4)  4 W 2.69, 4 Co 2.69
Co1 0.2500 0.2500 0.7500 (multiplicity 4)  4 Nb 2.69, 4 Ga 2.69
W1 0.2500 0.2500 0.2500 (multiplicity 4)  4 Nb 2.69, 4 Ga 2.69

No. 10
## YNbGaCo (GGA-PBE)

Data for crystalline YNbGaCo at its relaxed geometry.

The calculation puts the energy above the most stable polymorph in this dataset at 0.053 eV/atom.

a b c (Å): 6.5589 6.5589 6.5589
angles (deg): 90.00 90.00 90.00
Last column: nearest neighbours and their distance in Å.
Space group F-43m (No. 216)
One atom of each set of equivalent atoms:
Y1 0.0000 0.0000 0.0000 (multiplicity 4)  4 Nb 2.84, 4 Ga 2.84
Nb1 0.2500 0.2500 0.7500 (multiplicity 4)  4 Co 2.84, 4 Y 2.84
Ga1 0.2500 0.2500 0.2500 (multiplicity 4)  4 Co 2.84, 4 Y 2.84
Co1 0.0000 0.0000 0.5000 (multiplicity 4)  4 Ga 2.84, 4 Nb 2.84

No. 11
## YNbGaCo (GGA-PBE)

Data for crystalline YNbGaCo at its relaxed geometry.

The calculation puts the energy above the most stable polymorph in this dataset at 0.000 eV/atom.

a b c (Å): 6.5511 6.5511 6.5511
angles (deg): 90.00 90.00 90.00
Last column: nearest neighbours and their distance in Å.
Space group F-43m (No. 216)
One atom of each set of equivalent atoms:
Y1 0.0000 0.0000 0.0000 (multiplicity 4)  4 Nb 2.84, 4 Co 2.84
Nb1 0.2500 0.2500 0.2500 (multiplicity 4)  4 Y 2.84, 4 Ga 2.84
Ga1 0.0000 0.0000 0.5000 (multiplicity 4)  4 Nb 2.84, 4 Co 2.84
Co1 0.2500 0.2500 0.7500 (multiplicity 4)  4 Y 2.84, 4 Ga 2.84

No. 12
## Nd2Ga9Co3 (GGA-PBE)

Data for crystalline Nd2Ga9Co3 at its relaxed geometry.

The final energy comes out at -0.1698 Ha/atom.

a b c (Å): 12.8432 7.4627 9.5707
angles (deg): 90.00 90.00 90.00
Last column: nearest neighbours and their distance in Å.
Space group Cmcm (No. 63)
One atom of each set of equivalent atoms:
Nd1 0.1641 0.1676 0.2500 (multiplicity 8)  11 Ga 3.01-3.09
Ga1 0.0000 0.1250 0.7500 (multiplicity 4)  2 Co 2.57, 6 Ga 2.72-2.76
Ga2 0.0000 0.3358 0.0544 (multiplicity 8)  3 Co 2.56, 5 Ga 2.66-2.85
Ga3 0.1053 0.4413 0.7500 (multiplicity 8)  2 Co 2.57, 6 Ga 2.70-2.85
Ga4 0.1656 0.1685 0.5702 (multiplicity 16)  3 Co 2.54-2.56, 4 Ga 2.74-2.82
Co1 0.0000 0.0000 0.0000 (multiplicity 4)  8 Ga 2.56-2.57
Co2 0.1702 0.5000 0.0000 (multiplicity 8)  8 Ga 2.54-2.57